This record from Alexandria via LeMat-Bulk describes a geometry-optimized CaGa2Br4 structure. The functional is PBE.

Values from the calculation:
magnetic moment	0.0000	μB per atom
formation energy (no corrections)	-1.088	eV per atom
distance to the lowest polymorph of the same formula	70	meV/atom

a = 5.7587 Å, b = 5.7587 Å, c = 15.1957 Å
α = 90.00°, β = 90.00°, γ = 90.00°
With the nearest neighbours (Å) after each atom.
Space group I4/mmm (No. 139)
Inequivalent atoms, fractional coordinates:
Ca 0.0000 0.0000 0.0000 x2  6 Br 2.86-2.88
Ga 0.0000 0.0000 0.3673 x4  1 Br 2.72
Br 0.0000 0.0000 0.1884 x4  1 Ga 2.72, 1 Ca 2.86
Br 0.0000 0.5000 0.0000 x4  2 Ca 2.88